The following is a DFT calculation (PBE) of a geometry-optimized NdLuAlNi structure.

It has space group F-43m (No. 216), with a = 7.0803 Å, b = 7.0803 Å, c = 7.0803 Å, α = 90.00°, β = 90.00° and γ = 90.00°. The inequivalent atoms are Nd at (0.0000, 0.0000, 0.0000), Lu at (0.0000, 0.0000, 0.5000), Al at (0.2500, 0.2500, 0.7500) and Ni at (0.2500, 0.2500, 0.2500).

The magnetization is 0.00 μB/f.u. As for the final energy: -4.97 eV per atom. The calculation puts the formation enthalpy at 0 K at -0.27 eV/atom.